Record 1
The following is a DFT calculation (PBE) of a geometry-optimized ScSbOs3 structure.

Computed properties:
Final energy = -7.114 eV per atom
E above lowest polymorph = 0.0 kJ/mol of atoms
E_form (uncorrected) = 1715 meV/atom
Space-group type = Pm-3m (221)
Calculated density = 11178 kg/m3

a = 4.7848 Å, b = 4.7848 Å, c = 4.7848 Å
α = 90.00°, β = 90.00°, γ = 90.00°
Atoms (fractional coordinates):
Os  0.0000  0.0000  0.5000
Os  0.5000  0.0000  0.0000
Os  0.0000  0.5000  0.0000
Sc  0.5000  0.5000  0.5000
Sb  0.0000  0.0000  0.0000

Record 2
The following is a DFT calculation (PBE) of a geometry-optimized Sc4SbOs structure.

Computed properties:
Final energy = -7.334 eV per atom
E above lowest polymorph = 0.0 kJ/mol of atoms
E_form (uncorrected) = -554 meV/atom
Space-group type = P2_1/m (11)
Calculated density = 6374 kg/m3

a = 5.2627 Å, b = 6.0674 Å, c = 8.9308 Å
α = 90.00°, β = 116.03°, γ = 90.00°
Atoms (fractional coordinates):
Sb  0.2984  0.2500  0.0746
Sb  0.7016  0.7500  0.9254
Os  0.1694  0.2500  0.5397
Os  0.8306  0.7500  0.4603
Sc  0.0661  0.9913  0.7506
Sc  0.0661  0.5087  0.7506
Sc  0.9339  0.0087  0.2494
Sc  0.9339  0.4913  0.2494
Sc  0.4129  0.7500  0.5582
Sc  0.6187  0.2500  0.8393
Sc  0.3813  0.7500  0.1607
Sc  0.5871  0.2500  0.4418

Record 3
The following is a DFT calculation (PBE) of a geometry-optimized ScSbOs2 structure.

Computed properties:
Final energy = -8.031 eV per atom
E_form (uncorrected) = 198 meV/atom
Space-group type = Immm (71)
Calculated density = 13218 kg/m3

a = 5.2975 Å, b = 5.2975 Å, c = 5.2975 Å
α = 144.57°, β = 126.07°, γ = 66.20°
Atoms (fractional coordinates):
Os  0.9903  0.9903  0.0000
Os  0.5097  0.5097  0.0000
Sb  0.7500  0.2500  0.5000
Sc  0.2500  0.7500  0.5000

Record 4
The following is a DFT calculation (PBE) of a geometry-optimized ScSb2Os structure.

Computed properties:
Final energy = -6.442 eV per atom
E above lowest polymorph = 22.5 kJ/mol of atoms
E_form (uncorrected) = 10 meV/atom
Space-group type = P4/mmm (123)
Calculated density = 10010 kg/m3

a = 3.2707 Å, b = 3.2707 Å, c = 7.4234 Å
α = 90.00°, β = 90.00°, γ = 90.00°
Atoms (fractional coordinates):
Sb  0.0000  0.0000  0.9762
Sb  0.0000  0.0000  0.5238
Os  0.5000  0.5000  0.7500
Sc  0.5000  0.5000  0.2500

Record 5
The following is a DFT calculation (PBE) of a geometry-optimized ScSbOs2 structure.

Computed properties:
Final energy = -8.168 eV per atom
E_form (uncorrected) = 60 meV/atom
Space-group type = Pmm2 (25)
Calculated density = 13276 kg/m3

a = 4.7340 Å, b = 3.1242 Å, c = 4.6274 Å
α = 90.00°, β = 90.00°, γ = 90.00°
Atoms (fractional coordinates):
Os  0.5000  0.3750  0.2148
Os  0.0000  0.8751  0.0318
Sb  0.0000  0.3751  0.5298
Sc  0.5000  0.8749  0.7236

Record 6
The following is a DFT calculation (PBE) of a geometry-optimized ScSb2Os structure.

Computed properties:
Final energy = -6.595 eV per atom
E above lowest polymorph = 7.7 kJ/mol of atoms
E_form (uncorrected) = -143 meV/atom
Space-group type = Immm (71)
Calculated density = 8298 kg/m3

a = 7.0529 Å, b = 7.0529 Å, c = 7.0529 Å
α = 153.12°, β = 142.70°, γ = 46.57°
Atoms (fractional coordinates):
Os  0.2500  0.7500  0.5000
Sb  0.0815  0.0815  0.0000
Sb  0.4185  0.4185  0.0000
Sc  0.7500  0.2500  0.5000

Record 7
The following is a DFT calculation (PBE) of a geometry-optimized ScSbOs2 structure.

Computed properties:
Final energy = -8.205 eV per atom
E_form (uncorrected) = 23 meV/atom
Space-group type = I-4m2 (119)
Calculated density = 13479 kg/m3

a = 5.2017 Å, b = 5.2017 Å, c = 5.2017 Å
α = 135.86°, β = 135.80°, γ = 64.25°
Atoms (fractional coordinates):
Sb  0.5001  0.5001  0.0000
Sc  0.2500  0.7500  0.5000
Os  0.9999  0.9999  0.0000
Os  0.7500  0.2500  0.5000

Record 8
The following is a DFT calculation (PBE) of a geometry-optimized SrScSb2Os structure.

Computed properties:
Final energy = -5.489 eV per atom
E_form (uncorrected) = 8 meV/atom
Space-group type = P4/mmm (123)
Calculated density = 6626 kg/m3

a = 5.3644 Å, b = 4.9319 Å, c = 5.3644 Å
α = 90.00°, β = 90.00°, γ = 90.00°
Atoms (fractional coordinates):
Sb  0.5000  0.0000  0.0000
Sb  0.0000  0.0000  0.5000
Os  0.0000  0.0000  0.0000
Sc  0.0000  0.5000  0.0000
Sr  0.5000  0.5000  0.5000

Record 9
The following is a DFT calculation (PBE) of a geometry-optimized ScSb2TeOs structure.

Computed properties:
Final energy = -5.297 eV per atom
E above lowest polymorph = 0.0 kJ/mol of atoms
E_form (uncorrected) = 492 meV/atom
Space-group type = P4/mmm (123)
Calculated density = 6983 kg/m3

a = 5.0064 Å, b = 5.0064 Å, c = 5.7522 Å
α = 90.00°, β = 90.00°, γ = 90.00°
Atoms (fractional coordinates):
Sb  0.0000  0.5000  0.0000
Sb  0.5000  0.0000  0.0000
Te  0.0000  0.0000  0.5000
Sc  0.5000  0.5000  0.5000
Os  0.0000  0.0000  0.0000

Record 10
The following is a DFT calculation (PBE) of a geometry-optimized ScSb2TeOs structure.

Computed properties:
Final energy = -4.520 eV per atom
E above lowest polymorph = 74.9 kJ/mol of atoms
E_form (uncorrected) = 1269 meV/atom
Space-group type = P4/mmm (123)
Calculated density = 6459 kg/m3

a = 5.4289 Å, b = 5.4289 Å, c = 5.2884 Å
α = 90.00°, β = 90.00°, γ = 90.00°
Atoms (fractional coordinates):
Os  0.5000  0.5000  0.5000
Sb  0.0000  0.5000  0.0000
Sb  0.5000  0.0000  0.0000
Sc  0.0000  0.0000  0.0000
Te  0.0000  0.0000  0.5000

Record 11
The following is a DFT calculation (PBE) of a geometry-optimized Sc2SbTeOs structure.

Computed properties:
Final energy = -5.650 eV per atom
E_form (uncorrected) = 581 meV/atom
Space-group type = P4/mmm (123)
Calculated density = 6315 kg/m3

a = 5.3686 Å, b = 4.8312 Å, c = 5.3686 Å
α = 90.00°, β = 90.00°, γ = 90.00°
Atoms (fractional coordinates):
Sc  0.0000  0.0000  0.5000
Sc  0.5000  0.0000  0.0000
Sb  0.0000  0.0000  0.0000
Te  0.5000  0.5000  0.5000
Os  0.0000  0.5000  0.0000

Record 12
The following is a DFT calculation (PBE) of a geometry-optimized ScSbTe2Os structure.

Computed properties:
Final energy = -5.107 eV per atom
E above lowest polymorph = 0.0 kJ/mol of atoms
E_form (uncorrected) = 486 meV/atom
Space-group type = P4/mmm (123)
Calculated density = 7022 kg/m3

a = 5.4351 Å, b = 5.4351 Å, c = 4.9005 Å
α = 90.00°, β = 90.00°, γ = 90.00°
Atoms (fractional coordinates):
Os  0.0000  0.0000  0.0000
Sc  0.5000  0.5000  0.5000
Te  0.0000  0.5000  0.0000
Te  0.5000  0.0000  0.0000
Sb  0.0000  0.0000  0.5000

Record 13
The following is a DFT calculation (PBE) of a geometry-optimized ScSbTe2Os structure.

Computed properties:
Final energy = -4.428 eV per atom
E above lowest polymorph = 65.5 kJ/mol of atoms
E_form (uncorrected) = 1165 meV/atom
Space-group type = P4/mmm (123)
Calculated density = 6351 kg/m3

a = 5.3837 Å, b = 5.3837 Å, c = 5.5220 Å
α = 90.00°, β = 90.00°, γ = 90.00°
Atoms (fractional coordinates):
Sc  0.0000  0.0000  0.0000
Sb  0.0000  0.0000  0.5000
Os  0.5000  0.5000  0.5000
Te  0.5000  0.0000  0.0000
Te  0.0000  0.5000  0.0000

Record 14
The following is a DFT calculation (PBE) of a geometry-optimized Sc2TiSbOs structure.

Computed properties:
Final energy = -6.054 eV per atom
E_form (uncorrected) = 1128 meV/atom
Space-group type = P4/mmm (123)
Calculated density = 5818 kg/m3

a = 5.1294 Å, b = 4.8789 Å, c = 5.1294 Å
α = 90.00°, β = 90.00°, γ = 90.00°
Atoms (fractional coordinates):
Sc  0.0000  0.0000  0.5000
Sc  0.5000  0.0000  0.0000
Os  0.5000  0.5000  0.5000
Ti  0.0000  0.5000  0.0000
Sb  0.0000  0.0000  0.0000

Record 15
The following is a DFT calculation (PBE) of a geometry-optimized ScTlSbOs2 structure.

Computed properties:
Final energy = -5.629 eV per atom
E_form (uncorrected) = 1427 meV/atom
Space-group type = P4/mmm (123)
Calculated density = 9911 kg/m3

a = 4.8885 Å, b = 5.2690 Å, c = 4.8885 Å
α = 90.00°, β = 90.00°, γ = 90.00°
Atoms (fractional coordinates):
Os  0.0000  0.0000  0.5000
Os  0.5000  0.0000  0.0000
Sc  0.0000  0.5000  0.0000
Tl  0.5000  0.5000  0.5000
Sb  0.0000  0.0000  0.0000